(1)
Density functional theory data (PBE) for a relaxed Pm2TmPa2Ru5 crystal.

Unit cell a=3.4271 b=11.1079 c=11.1079 alpha=90.00 beta=90.00 gamma=90.00
Atoms (fractional coordinates):
Pm 0.0000 0.1654 0.3346
Ru 0.5000 0.0439 0.7866
Ru 0.5000 0.2134 0.0439
Ru 0.5000 0.5439 0.7134
Ru 0.5000 0.9561 0.2134
Tm 0.0000 0.5000 0.5000
Pm 0.0000 0.3346 0.8346
Ru 0.5000 0.7866 0.9561
Ru 0.5000 0.5000 0.0000
Ru 0.5000 0.0000 0.5000
Pa 0.0000 0.3542 0.1458
Pa 0.0000 0.8542 0.3542
Ru 0.5000 0.4561 0.2866
Ru 0.5000 0.2866 0.5439
Pa 0.0000 0.1458 0.6458
Pa 0.0000 0.6458 0.8542
Pm 0.0000 0.6654 0.1654
Ru 0.5000 0.7134 0.4561
Pm 0.0000 0.8346 0.6654
Tm 0.0000 0.0000 0.0000

Values from the calculation:
The density comes out at 11.20 g/cm³. The value obtained for the formation energy is -6.62 kcal/mol of atoms. Its total energy is -164.427 eV/cell. The calculation puts the total moment at 0.00 μB/f.u. Its space group is P4/mbm (127).

(2)
Density functional theory data (PBE) for a relaxed Tm2GaCoC crystal.

Unit cell a=3.8632 b=6.1385 c=8.1609 alpha=109.87 beta=90.00 gamma=90.00
Atoms (fractional coordinates):
Tm 0.7500 0.7824 0.0309
Co 0.2500 0.5021 0.7419
Tm 0.2500 0.2176 0.9691
Co 0.7500 0.4979 0.2581
Tm 0.7500 0.7711 0.6206
Ga 0.7500 0.2855 0.6966
Ga 0.2500 0.7145 0.3034
C 0.2500 0.8091 0.8309
C 0.7500 0.1909 0.1691
Tm 0.2500 0.2289 0.3794

Values from the calculation:
The density comes out at 8.73 g/cm³. The value obtained for the formation energy is -8.88 kcal/mol of atoms. Its total energy is -60.451 eV/cell. The calculation puts the total moment at 0.00 μB/f.u. Its space group is P2_1/m (11).

(3)
Density functional theory data (PBE) for a relaxed La2MgBiH crystal.

Unit cell a=5.0872 b=5.0872 c=4.7328 alpha=90.00 beta=90.00 gamma=90.00
Atoms (fractional coordinates):
La 0.5000 0.0000 0.0000
H 0.0000 0.0000 0.0000
La 0.0000 0.5000 0.0000
Mg 0.0000 0.0000 0.5000
Bi 0.5000 0.5000 0.5000

Values from the calculation:
The density comes out at 6.94 g/cm³. Its total energy is -21.214 eV/cell. The calculation puts the total moment at 0.00 μB/f.u. Its space group is P4/mmm (123).

(4)
Density functional theory data (PBE) for a relaxed LiCaTiF6 crystal.

Unit cell a=5.2361 b=5.2361 c=9.9535 alpha=90.00 beta=90.00 gamma=120.00
Atoms (fractional coordinates):
F 0.6418 0.6529 0.6382
Ti 0.6667 0.3333 0.2500
F 0.6418 0.9889 0.8618
Ca 0.0000 0.0000 0.0000
F 0.6529 0.6418 0.1382
F 0.9889 0.3471 0.1382
Ti 0.3333 0.6667 0.7500
F 0.3471 0.9889 0.6382
F 0.3471 0.3582 0.8618
Li 0.6667 0.3333 0.7500
Li 0.3333 0.6667 0.2500
F 0.9889 0.6418 0.3618
F 0.0111 0.3582 0.6382
F 0.6529 0.0111 0.3618
F 0.0111 0.6529 0.8618
Ca 0.0000 0.0000 0.5000
F 0.3582 0.0111 0.1382
F 0.3582 0.3471 0.3618

Values from the calculation:
The density comes out at 2.94 g/cm³. Its uncorrected formation energy is -3.44 eV/atom. Its total energy is -108.016 eV/cell. The calculation puts the total moment at 1.00 μB/f.u. Its space group is P-31c (163).

(5)
Density functional theory data (PBE) for a relaxed MgTiZn2Cl crystal.

Unit cell a=4.9530 b=5.5078 c=4.9530 alpha=90.00 beta=90.00 gamma=90.00
Atoms (fractional coordinates):
Mg 0.0000 0.0000 0.0000
Zn 0.0000 0.0000 0.5000
Ti 0.0000 0.5000 0.0000
Cl 0.5000 0.5000 0.5000
Zn 0.5000 0.0000 0.0000

Values from the calculation:
The density comes out at 2.93 g/cm³. Its uncorrected formation energy is 0.65 eV/atom. Its total energy is -10.650 eV/cell. The calculation puts the total moment at 2.20 μB/f.u. Its space group is P4/mmm (123).

(6)
Density functional theory data (PBE) for a relaxed CaAc2LaNd crystal.

Unit cell a=6.4840 b=9.2321 c=7.3326 alpha=97.71 beta=90.00 gamma=90.00
Atoms (fractional coordinates):
Ac 0.3908 0.3293 0.0940
Ca 0.4827 0.0000 0.7500
Ac 0.6092 0.6707 0.9060
La 0.0000 0.0000 0.0000
Nd 0.1020 0.5000 0.7500
Nd 0.8980 0.5000 0.2500
Ac 0.6092 0.3293 0.5940
La 0.0000 0.0000 0.5000
Ac 0.3908 0.6707 0.4060
Ca 0.5173 0.0000 0.2500

Values from the calculation:
The density comes out at 5.93 g/cm³. The value obtained for the formation energy is 8.17 kcal/mol of atoms. Its total energy is -36.284 eV/cell. The calculation puts the total moment at 0.00 μB/f.u. Its space group is P2/c (13).

(7)
Density functional theory data (PBE) for a relaxed Na3Pu2MgSe6 crystal.

Unit cell a=7.1317 b=7.1317 c=7.3487 alpha=99.29 beta=99.29 gamma=120.02
Atoms (fractional coordinates):
Se 0.7461 0.7461 0.2258
Se 0.2539 0.2539 0.7742
Na 0.5000 0.5000 0.5000
Mg 0.0000 0.0000 0.0000
Se 0.5957 0.9248 0.7743
Na 0.1669 0.8331 0.5000
Se 0.9248 0.5957 0.7743
Se 0.0752 0.4043 0.2257
Se 0.4043 0.0752 0.2257
Na 0.8331 0.1669 0.5000
Pu 0.3333 0.6667 0.0000
Pu 0.6667 0.3333 0.0000

Values from the calculation:
The density comes out at 5.72 g/cm³. Its uncorrected formation energy is -1.31 eV/atom. Its total energy is -70.823 eV/cell. The calculation puts the total moment at 9.00 μB/f.u. Its space group is C2/m (12).

(8)
Density functional theory data (PBE) for a relaxed BeCuTc2 crystal.

Unit cell a=3.9418 b=2.5580 c=5.5679 alpha=65.47 beta=90.00 gamma=90.00
Atoms (fractional coordinates):
Cu 0.5000 0.7500 0.7500
Be 0.5000 0.2500 0.2500
Tc 0.0000 0.0759 0.0120
Tc 0.0000 0.4241 0.4880

Values from the calculation:
The density comes out at 8.73 g/cm³. The value obtained for the formation energy is 4.42 kcal/mol of atoms. Its total energy is -27.788 eV/cell. The calculation puts the total moment at 0.00 μB/f.u. Its space group is P2/m (10).

Question: The highest density belongs to which entry?
Answer: Pm2TmPa2Ru5

Question: The highest total moment belongs to which entry?
Answer: Na3Pu2MgSe6

Question: The lowest density belongs to which entry?
Answer: MgTiZn2Cl